(1)
VASP calculation (PBE) on crystalline Dy4BeSe3 at its relaxed geometry.

```
Dy4BeSe3
1.0
-2.5113 -1.6826 2.5618
5.0849 -4.5377 2.0043
0.3802 5.7524 4.1508
Be Se Dy
1 3 4
direct
0.5000 0.0000 0.0000
0.0000 0.0000 0.5000
0.5000 0.5000 0.5000
0.0000 0.5000 0.0000
0.0000 0.2351 0.2351
0.5000 0.7605 0.2395
0.0000 0.7649 0.7649
0.5000 0.2395 0.7605
```

## Properties
Its total magnetization is 0.0 Bohr magnetons per cell. The calculated density is 7.84 g/cm³. The energy relative to the elements, uncorrected comes out at -1.321 eV per atom. The space group is Cmmm.



(2)
VASP calculation (PBE) on crystalline DyBeSi at its relaxed geometry.

```
DyBeSi
1.0
-2.4600 -1.1694 -2.7489
-0.5530 -1.0757 3.6765
-6.7644 9.8482 1.8640
Dy Be Si
3 3 3
direct
0.4946 0.9892 0.0000
0.4947 0.9895 0.6667
0.4948 0.9895 0.3333
0.1612 0.3224 0.1641
0.1612 0.3224 0.8359
0.8283 0.6566 0.5000
0.8280 0.6559 0.1678
0.8280 0.6559 0.8322
0.1615 0.3230 0.5000
```

## Properties
Its total magnetization is 0.0 Bohr magnetons per cell. The calculated density is 6.34 g/cm³. The energy relative to the elements, uncorrected comes out at -0.658 eV per atom. The space group is P-6m2.



(3)
VASP calculation (PBE) on crystalline DyBeSi at its relaxed geometry.

```
DyBeSi
1.0
-3.8058 -1.1750 -0.6348
1.1746 -3.6818 -0.2274
-1.0318 1.4949 3.4187
Be Si Dy
1 1 1
direct
0.1665 0.6667 0.3333
0.1668 0.0000 0.0000
0.6667 0.3333 0.6667
```

## Properties
Its total magnetization is 0.0 Bohr magnetons per cell. The calculated density is 6.33 g/cm³. The energy relative to the elements, uncorrected comes out at -0.657 eV per atom. The space group is P-6m2.